[1]
Entry from Alexandria: crystalline SrTc3 at its relaxed geometry (PBE).

Calculated values
Energy above the most stable polymorph in this dataset   0.288 eV per atom
Volume   69 Å³/f.u.
Fermi-level density of states   2.9 states/eV per cell

abc: 4.6056 4.6056 4.6056
angles: 60.00 60.00 60.00
With the nearest neighbours (Å) after each atom.
Sites, in units of the cell vectors:
Sr1 0.0000 0.0000 0.0000  8 Tc 2.82
Tc1 0.2500 0.2500 0.2500  4 Tc 2.82, 4 Sr 2.82
Tc2 0.5000 0.5000 0.5000  8 Tc 2.82
Tc3 0.7500 0.7500 0.7500  4 Sr 2.82, 4 Tc 2.82



[2]
Entry from Alexandria: crystalline Sr8Tc at its relaxed geometry (PBE).

Calculated values
Volume   422 Å³/f.u.
Fermi-level density of states   11.1 states/eV per cell

abc: 10.0742 10.0742 10.0742
angles: 92.69 92.69 154.99
With the nearest neighbours (Å) after each atom.
Sites, in units of the cell vectors:
Sr1 0.0000 0.3329 0.3329  10 Sr 3.94-4.36
Sr2 0.0000 0.6671 0.6671  10 Sr 3.94-4.36
Sr3 0.3329 0.0000 0.3329  10 Sr 3.94-4.36
Sr4 0.3617 0.3617 0.7234  2 Tc 3.49, 2 Sr 3.85
Sr5 0.3617 0.6383 0.0000  2 Tc 3.49, 2 Sr 3.85
Sr6 0.6383 0.3617 0.0000  2 Tc 3.49, 2 Sr 3.85
Sr7 0.6383 0.6383 0.2766  2 Tc 3.49, 2 Sr 3.85
Sr8 0.6671 0.0000 0.6671  10 Sr 3.94-4.36
Tc1 0.0000 0.0000 0.0000  8 Sr 3.49



[3]
Entry from Alexandria: crystalline Sr3Tc2 at its relaxed geometry (PBE).

Calculated values
Energy above the most stable polymorph in this dataset   0.000 eV per atom
Volume   161 Å³/f.u.
Fermi-level density of states   11.9 states/eV per cell

abc: 12.5038 6.9876 14.0592
angles: 62.69 29.77 87.54
With the nearest neighbours (Å) after each atom.
Sites, in units of the cell vectors:
Sr1 0.0000 0.0000 0.0000  6 Tc 3.50-3.80, 8 Sr 3.81-3.91
Sr2 0.0289 0.5155 0.6863  4 Tc 3.32-3.55, 2 Sr 3.60
Sr3 0.2500 0.2500 0.2500  6 Tc 3.50-3.80, 8 Sr 3.81-3.91
Sr4 0.4807 0.5637 0.7345  4 Tc 3.32-3.55, 2 Sr 3.60
Sr5 0.5155 0.0289 0.7693  4 Tc 3.32-3.55, 2 Sr 3.60
Sr6 0.5637 0.4807 0.2211  4 Tc 3.32-3.55, 2 Sr 3.60
Tc1 0.2929 0.7749 0.6651  2 Tc 2.34
Tc2 0.5849 0.9829 0.9571  2 Tc 2.34
Tc3 0.7749 0.2929 0.2671  2 Tc 2.34
Tc4 0.9829 0.5849 0.4751  2 Tc 2.34



[4]
Entry from Alexandria: crystalline SrTc at its relaxed geometry (PBE).

Calculated values
Energy above the most stable polymorph in this dataset   0.343 eV per atom
Volume   58 Å³/f.u.
Fermi-level density of states   7.4 states/eV per cell

abc: 6.8600 6.8600 7.6314
angles: 112.65 112.65 31.85
With the nearest neighbours (Å) after each atom.
Sites, in units of the cell vectors:
Sr1 0.0000 0.0000 0.0000  1 Tc 3.19, 1 Sr 3.50
Sr2 0.0216 0.0216 0.5435  5 Tc 3.27-3.41, 1 Sr 3.61
Sr3 0.2876 0.2876 0.1412  5 Tc 3.29-3.60, 1 Sr 3.50
Tc1 0.2921 0.2921 0.6154  4 Tc 2.44-2.50
Tc2 0.6911 0.6911 0.4024  3 Tc 2.50-2.57
Tc3 0.7383 0.7383 0.7629  3 Tc 2.44-2.57



[5]
Entry from Alexandria: crystalline Sr2Tc at its relaxed geometry (PBE).

Calculated values
Energy above the most stable polymorph in this dataset   0.605 eV per atom
Volume   106 Å³/f.u.
Fermi-level density of states   5.8 states/eV per cell

abc: 7.6278 7.7916 3.5798
angles: 90.00 90.00 90.00
With the nearest neighbours (Å) after each atom.
Sites, in units of the cell vectors:
Sr1 0.2241 0.1820 0.0000  3 Tc 3.01-3.11
Sr2 0.2759 0.6820 0.5000  3 Tc 3.01-3.11
Sr3 0.7241 0.3180 0.5000  3 Tc 3.01-3.11
Sr4 0.7759 0.8180 0.0000  3 Tc 3.01-3.11
Tc1 0.0000 0.5000 0.0000  6 Sr 3.01-3.11
Tc2 0.5000 0.0000 0.5000  6 Sr 3.01-3.11



[6]
Entry from Alexandria: crystalline SrTc3 at its relaxed geometry (PBE).

Calculated values
Energy above the most stable polymorph in this dataset   0.383 eV per atom
Volume   70 Å³/f.u.
Fermi-level density of states   5.3 states/eV per cell

abc: 5.5271 5.5271 5.5271
angles: 117.36 117.36 117.36
With the nearest neighbours (Å) after each atom.
Sites, in units of the cell vectors:
Sr1 0.0000 0.0000 0.0000  2 Sr 2.72, 6 Tc 2.87
Tc1 0.0000 0.5000 0.5000  6 Tc 2.72-2.87, 2 Sr 2.87
Tc2 0.5000 0.0000 0.5000  6 Tc 2.72-2.87, 2 Sr 2.87
Tc3 0.5000 0.5000 0.0000  6 Tc 2.72-2.87, 2 Sr 2.87



[7]
Entry from Alexandria: crystalline SrTc at its relaxed geometry (PBE).

Calculated values
Energy above the most stable polymorph in this dataset   1.828 eV per atom
Volume   82 Å³/f.u.
Fermi-level density of states   6.2 states/eV per cell

abc: 5.5173 5.5173 6.1902
angles: 90.00 90.00 120.00
With the nearest neighbours (Å) after each atom.
Sites, in units of the cell vectors:
Sr1 0.3333 0.6667 0.2500  5 Tc 3.10-3.19
Sr2 0.6667 0.3333 0.7500  5 Tc 3.10-3.19
Tc1 0.3333 0.6667 0.7500  5 Sr 3.10-3.19
Tc2 0.6667 0.3333 0.2500  5 Sr 3.10-3.19



[8]
Entry from Alexandria: crystalline SrTc at its relaxed geometry (PBE).

Calculated values
Energy above the most stable polymorph in this dataset   0.457 eV per atom
Volume   51 Å³/f.u.
Fermi-level density of states   9.8 states/eV per cell

abc: 8.6822 7.8821 5.5506
angles: 78.43 62.80 38.78
With the nearest neighbours (Å) after each atom.
Sites, in units of the cell vectors:
Sr1 0.0390 0.7110 0.0390  4 Tc 3.04-3.35, 3 Sr 3.08-3.37
Sr2 0.2890 0.9610 0.2890  4 Tc 3.04-3.35, 3 Sr 3.08-3.37
Sr3 0.7110 0.0390 0.7110  4 Tc 3.04-3.35, 3 Sr 3.08-3.37
Sr4 0.9610 0.2890 0.9610  4 Tc 3.04-3.35, 3 Sr 3.08-3.37
Tc1 0.2980 0.2980 0.4520  1 Tc 2.25
Tc2 0.4520 0.4520 0.2980  1 Tc 2.25
Tc3 0.5480 0.5480 0.7020  1 Tc 2.25
Tc4 0.7020 0.7020 0.5480  1 Tc 2.25



[9]
Entry from Alexandria: crystalline SrTc at its relaxed geometry (PBE).

Calculated values
Energy above the most stable polymorph in this dataset   0.396 eV per atom
Volume   70 Å³/f.u.
Fermi-level density of states   9.1 states/eV per cell

abc: 8.6344 8.6344 8.6344
angles: 93.02 93.02 153.46
With the nearest neighbours (Å) after each atom.
Sites, in units of the cell vectors:
Sr1 0.0000 0.2728 0.2728  6 Tc 3.30-3.41
Sr2 0.0000 0.7272 0.7272  6 Tc 3.30-3.41
Sr3 0.2728 0.0000 0.2728  6 Tc 3.30-3.41
Sr4 0.7272 0.0000 0.7272  6 Tc 3.30-3.41
Tc1 0.2863 0.2863 0.5725  2 Tc 2.33
Tc2 0.2863 0.7137 0.0000  2 Tc 2.33
Tc3 0.7137 0.2863 0.0000  2 Tc 2.33
Tc4 0.7137 0.7137 0.4275  2 Tc 2.33



[10]
Entry from Alexandria: crystalline Sr2Tc at its relaxed geometry (PBE).

Calculated values
Energy above the most stable polymorph in this dataset   0.703 eV per atom
Volume   85 Å³/f.u.
Fermi-level density of states   3.3 states/eV per cell

abc: 5.4063 5.4063 3.3620
angles: 90.00 90.00 120.00
With the nearest neighbours (Å) after each atom.
Sites, in units of the cell vectors:
Sr1 0.3333 0.6667 0.2993  3 Tc 3.28, 5 Sr 3.36-3.40
Sr2 0.6667 0.3333 0.7007  3 Tc 3.28, 5 Sr 3.36-3.40
Tc1 0.0000 0.0000 0.0000  6 Sr 3.28, 2 Tc 3.36



[11]
Entry from Alexandria: crystalline Sr2Tc at its relaxed geometry (PBE).

Calculated values
Energy above the most stable polymorph in this dataset   0.622 eV per atom
Volume   95 Å³/f.u.
Fermi-level density of states   10.9 states/eV per cell

abc: 5.4937 5.4937 7.2506
angles: 90.00 90.00 120.00
With the nearest neighbours (Å) after each atom.
Sites, in units of the cell vectors:
Sr1 0.0000 0.0000 0.0000  8 Sr 3.63-3.65, 6 Tc 3.65
Sr2 0.0000 0.0000 0.5000  8 Sr 3.63-3.65, 6 Tc 3.65
Sr3 0.3333 0.6667 0.2500  3 Tc 3.17
Sr4 0.6667 0.3333 0.7500  3 Tc 3.17
Tc1 0.3333 0.6667 0.7500  3 Sr 3.17
Tc2 0.6667 0.3333 0.2500  3 Sr 3.17



[12]
Entry from Alexandria: crystalline SrTc5 at its relaxed geometry (PBE).

Calculated values
Energy above the most stable polymorph in this dataset   0.061 eV per atom
Volume   102 Å³/f.u.
Fermi-level density of states   4.8 states/eV per cell

abc: 5.6160 5.6160 6.8122
angles: 105.16 105.16 29.68
With the nearest neighbours (Å) after each atom.
Sites, in units of the cell vectors:
Sr1 0.0000 0.0000 0.0000  2 Sr 2.88, 8 Tc 2.92-3.18
Tc1 0.0082 0.0082 0.5478  8 Tc 2.68-2.90
Tc2 0.2975 0.2975 0.6348  5 Tc 2.53-2.65
Tc3 0.3310 0.3310 0.2639  9 Tc 2.64-2.88
Tc4 0.6527 0.6527 0.3623  6 Tc 2.53-2.68
Tc5 0.7208 0.7208 0.8952  6 Tc 2.59-2.88



Calculated formation energy list, top to bottom, in eV/atom: 0.87 0.35 0.45 0.59 0.88 0.97 2.08 0.71 0.64 0.98 0.90 0.54